Computed, not measured: a relaxed Pr5Ho4Tl crystal at the PBE level of DFT.

Cell and atoms, written as POSCAR:
```
Pr5Ho4Tl
1.0
3.6579 0.0000 0.0000
0.0000 3.6579 0.0000
0.0000 0.0000 24.7635
Pr Ho Tl
5 4 1
direct
0.0000 0.0000 0.0000 Pr
0.0000 0.0000 0.2036 Pr
0.0000 0.0000 0.4096 Pr
0.0000 0.0000 0.5904 Pr
0.0000 0.0000 0.7964 Pr
0.5000 0.5000 0.1017 Ho
0.5000 0.5000 0.3051 Ho
0.5000 0.5000 0.6949 Ho
0.5000 0.5000 0.8983 Ho
0.5000 0.5000 0.5000 Tl
```

## Properties
E = -44.99 eV for the cell shown
Theoretical density = 7.86 g cm⁻³
Total magnetic moment = 0.000 μB per formula unit
Formation enthalpy at 0 K = -0.042 eV/atom
Space-group type = P4/mmm (123)